Entry 1:
First-principles (GGA-PBE) data for crystalline NiP at its relaxed geometry, as listed in the Alexandria database. Values from VASP.

```
&SYSTEM
  ibrav = 0, nat = 4, ntyp = 2
/
ATOMIC_SPECIES
Ni 58.69 Ni.upf
P 30.97 P.upf
CELL_PARAMETERS angstrom
-2.153 0.635 -1.665
-1.581 -1.885 1.325
-2.013 4.805 4.435
ATOMIC_POSITIONS crystal
Ni 0.000 0.000 0.666
Ni 0.500 0.500 0.166
P 0.000 0.000 0.999
P 0.500 0.500 0.499
```

## Properties
N(E_F)   2.29 states/eV/cell
Total DFT energy (no corrections)   -5.863 eV/atom
Calculated density   5.57 g cm⁻³

=====

Entry 2:
First-principles (GGA-PBE) data for crystalline BiPdRu2 at its relaxed geometry, as listed in the Alexandria database. Values from VASP.

```
&SYSTEM
  ibrav = 0, nat = 8, ntyp = 3
/
ATOMIC_SPECIES
Ru 101.07 Ru.upf
Bi 208.98 Bi.upf
Pd 106.42 Pd.upf
CELL_PARAMETERS angstrom
-1.690 0.225 -3.592
-3.293 -1.699 1.443
-6.047 8.042 1.146
ATOMIC_POSITIONS crystal
Ru 0.542 0.125 0.250
Ru 0.208 0.625 0.250
Ru 0.375 0.458 0.750
Ru 0.875 0.792 0.750
Bi 0.000 0.000 0.000
Bi 0.750 0.250 0.500
Pd 0.500 0.500 0.000
Pd 0.250 0.750 0.500
```

## Properties
N(E_F)   8.88 states/eV/cell
Total DFT energy (no corrections)   -6.361 eV/atom
Calculated density   11.17 g cm⁻³

=====

Entry 3:
First-principles (GGA-PBE) data for crystalline InGa2HPd at its relaxed geometry, as listed in the Alexandria database. Values from VASP.

```
&SYSTEM
  ibrav = 0, nat = 5, ntyp = 4
/
ATOMIC_SPECIES
H 1.01 H.upf
Ga 69.72 Ga.upf
Pd 106.42 Pd.upf
In 114.82 In.upf
CELL_PARAMETERS angstrom
-2.402 -1.197 4.557
1.327 -3.177 -0.136
4.249 1.660 2.676
ATOMIC_POSITIONS crystal
H 0.000 0.500 0.000
Ga 0.000 0.000 0.500
Ga 0.500 0.000 0.000
Pd 0.500 0.500 0.500
In 0.000 0.000 0.000
```

## Properties
N(E_F)   2.54 states/eV/cell
Total DFT energy (no corrections)   -2.983 eV/atom
Calculated density   6.23 g cm⁻³

=====

Entry 4:
First-principles (GGA-PBE) data for crystalline TmZr2Zn at its relaxed geometry, as listed in the Alexandria database. Values from VASP.

```
&SYSTEM
  ibrav = 0, nat = 4, ntyp = 3
/
ATOMIC_SPECIES
Tm 168.93 Tm.upf
Zr 91.22 Zr.upf
Zn 65.41 Zn.upf
CELL_PARAMETERS angstrom
-0.492 -2.689 -1.968
3.765 1.454 -2.929
1.808 -2.220 5.464
ATOMIC_POSITIONS crystal
Tm 0.000 0.500 0.000
Zr 0.783 0.783 0.566
Zr 0.217 0.217 0.434
Zn 0.500 0.000 0.000
```

## Properties
Energy relative to the lowest polymorph listed for this composition   0.0 meV per atom
N(E_F)   2.81 states/eV/cell
Calculated density   7.65 g cm⁻³

=====

Entry 5:
First-principles (GGA-PBE) data for crystalline Tl3In4Hg2Bi2 at its relaxed geometry, as listed in the Alexandria database. Values from VASP.

```
&SYSTEM
  ibrav = 0, nat = 11, ntyp = 4
/
ATOMIC_SPECIES
Tl 204.38 Tl.upf
In 114.82 In.upf
Hg 200.59 Hg.upf
Bi 208.98 Bi.upf
CELL_PARAMETERS angstrom
5.440 0.000 0.000
-2.720 4.711 0.000
0.000 0.000 13.130
ATOMIC_POSITIONS crystal
Tl 0.000 0.000 0.721
Tl 0.000 0.000 0.000
Tl 0.000 0.000 0.279
In 0.667 0.333 0.116
In 0.333 0.667 0.884
In 0.667 0.333 0.599
In 0.333 0.667 0.401
Hg 0.667 0.333 0.371
Hg 0.333 0.667 0.629
Bi 0.667 0.333 0.853
Bi 0.333 0.667 0.147
```

## Properties
N(E_F)   4.63 states/eV/cell
Total DFT energy (no corrections)   -2.402 eV/atom
Calculated density   9.33 g cm⁻³

=====

Entry 6:
First-principles (GGA-PBE) data for crystalline TaTeMo2 at its relaxed geometry, as listed in the Alexandria database. Values from VASP.

```
&SYSTEM
  ibrav = 0, nat = 4, ntyp = 3
/
ATOMIC_SPECIES
Mo 95.94 Mo.upf
Ta 180.95 Ta.upf
Te 127.60 Te.upf
CELL_PARAMETERS angstrom
3.005 0.006 0.000
-1.135 2.782 0.000
0.000 0.000 8.858
ATOMIC_POSITIONS crystal
Mo 0.000 0.000 0.013
Mo 0.000 0.000 0.487
Ta 0.500 0.500 0.250
Te 0.500 0.500 0.750
```

## Properties
E_form (uncorrected)   429 meV/atom
N(E_F)   4.55 states/eV/cell
Calculated density   11.21 g cm⁻³

=====

Entry 7:
First-principles (GGA-PBE) data for crystalline PmSmCdCo at its relaxed geometry, as listed in the Alexandria database. Values from VASP.

```
&SYSTEM
  ibrav = 0, nat = 4, ntyp = 4
/
ATOMIC_SPECIES
Cd 112.41 Cd.upf
Co 58.93 Co.upf
Sm 150.36 Sm.upf
Pm 145.00 Pm.upf
CELL_PARAMETERS angstrom
-0.143 3.388 -3.889
1.475 -1.438 -4.730
-3.507 -0.522 -3.749
ATOMIC_POSITIONS crystal
Cd 0.500 0.500 0.500
Co 0.000 0.000 0.000
Sm 0.750 0.750 0.750
Pm 0.250 0.250 0.250
```

## Properties
N(E_F)   3.00 states/eV/cell
Total DFT energy (no corrections)   -4.445 eV/atom
Calculated density   7.98 g cm⁻³

=====

Entry 8:
First-principles (GGA-PBE) data for crystalline NaHo3Hg12 at its relaxed geometry, as listed in the Alexandria database. Values from VASP.

```
&SYSTEM
  ibrav = 0, nat = 16, ntyp = 3
/
ATOMIC_SPECIES
Na 22.99 Na.upf
Ho 164.93 Ho.upf
Hg 200.59 Hg.upf
CELL_PARAMETERS angstrom
4.547 0.000 0.000
0.000 4.547 0.000
0.000 0.000 18.851
ATOMIC_POSITIONS crystal
Na 0.000 0.000 0.000
Ho 0.000 0.000 0.245
Ho 0.000 0.000 0.500
Ho 0.000 0.000 0.755
Hg 0.500 0.500 0.000
Hg 0.500 0.500 0.253
Hg 0.500 0.500 0.500
Hg 0.500 0.500 0.747
Hg 0.500 0.000 0.127
Hg 0.500 0.000 0.375
Hg 0.500 0.000 0.625
Hg 0.500 0.000 0.873
Hg 0.000 0.500 0.127
Hg 0.000 0.500 0.375
Hg 0.000 0.500 0.625
Hg 0.000 0.500 0.873
```

## Properties
N(E_F)   8.23 states/eV/cell
Total DFT energy (no corrections)   -1.442 eV/atom
Calculated density   12.46 g cm⁻³

=====

Entry 9:
First-principles (GGA-PBE) data for crystalline BeF at its relaxed geometry, as listed in the Alexandria database. Values from VASP.

```
&SYSTEM
  ibrav = 0, nat = 16, ntyp = 2
/
ATOMIC_SPECIES
Be 9.01 Be.upf
F 19.00 F.upf
CELL_PARAMETERS angstrom
-4.248 6.034 -1.975
-3.668 -2.999 -1.275
-1.826 0.245 4.678
ATOMIC_POSITIONS crystal
Be 0.366 0.460 0.250
Be 0.366 0.540 0.750
Be 0.634 0.460 0.250
Be 0.634 0.540 0.750
Be 0.866 0.960 0.250
Be 0.866 0.040 0.750
Be 0.134 0.960 0.250
Be 0.134 0.040 0.750
F 0.712 0.164 0.250
F 0.712 0.836 0.750
F 0.288 0.164 0.250
F 0.288 0.836 0.750
F 0.212 0.664 0.250
F 0.212 0.336 0.750
F 0.788 0.664 0.250
F 0.788 0.336 0.750
```

## Properties
Energy relative to the lowest polymorph listed for this composition   88.6 meV per atom
E_form (uncorrected)   -1919 meV/atom
N(E_F)   0.63 states/eV/cell
Calculated density   1.97 g cm⁻³

=====

Entry 10:
First-principles (GGA-PBE) data for crystalline Li3Ac2DyBi4 at its relaxed geometry, as listed in the Alexandria database. Values from VASP.

```
&SYSTEM
  ibrav = 0, nat = 10, ntyp = 4
/
ATOMIC_SPECIES
Li 6.94 Li.upf
Ac 227.00 Ac.upf
Dy 162.50 Dy.upf
Bi 208.98 Bi.upf
CELL_PARAMETERS angstrom
-2.344 -2.349 -3.596
-0.052 -4.081 2.699
-10.639 3.299 4.782
ATOMIC_POSITIONS crystal
Li 0.000 0.000 0.500
Li 0.500 0.000 0.885
Li 0.000 0.500 0.115
Ac 0.500 0.000 0.226
Ac 0.000 0.500 0.774
Dy 0.500 0.500 0.500
Bi 0.500 0.500 0.000
Bi 0.000 0.000 0.000
Bi 0.500 0.000 0.661
Bi 0.000 0.500 0.339
```

## Properties
N(E_F)   6.21 states/eV/cell
Total DFT energy (no corrections)   -4.026 eV/atom
Calculated density   8.43 g cm⁻³

=====

Entry 11:
First-principles (GGA-PBE) data for crystalline Ag5Cl2O2 at its relaxed geometry, as listed in the Alexandria database. Values from VASP.

```
&SYSTEM
  ibrav = 0, nat = 9, ntyp = 3
/
ATOMIC_SPECIES
Ag 107.87 Ag.upf
Cl 35.45 Cl.upf
O 16.00 O.upf
CELL_PARAMETERS angstrom
-1.566 0.573 4.153
-4.333 1.112 -4.198
0.817 -7.346 1.321
ATOMIC_POSITIONS crystal
Ag 0.363 0.726 0.118
Ag 0.637 0.274 0.882
Ag 0.139 0.279 0.585
Ag 0.861 0.721 0.415
Ag 0.000 0.000 0.000
Cl 0.392 0.783 0.628
Cl 0.608 0.217 0.372
O 0.152 0.304 0.900
O 0.848 0.696 0.100
```

## Properties
E_form (uncorrected)   -151 meV/atom
N(E_F)   3.09 states/eV/cell
Calculated density   6.07 g cm⁻³

=====

Entry 12:
First-principles (GGA-PBE) data for crystalline LaZr2Ag2 at its relaxed geometry, as listed in the Alexandria database. Values from VASP.

```
&SYSTEM
  ibrav = 0, nat = 10, ntyp = 3
/
ATOMIC_SPECIES
Zr 91.22 Zr.upf
Ag 107.87 Ag.upf
La 138.91 La.upf
CELL_PARAMETERS angstrom
-7.883 -0.682 3.575
2.536 -7.148 4.227
0.921 1.722 2.360
ATOMIC_POSITIONS crystal
Zr 0.371 0.871 0.000
Zr 0.871 0.629 0.000
Zr 0.629 0.129 0.000
Zr 0.129 0.371 0.000
Ag 0.168 0.668 0.500
Ag 0.668 0.832 0.500
Ag 0.832 0.332 0.500
Ag 0.332 0.168 0.500
La 0.000 0.000 0.000
La 0.500 0.500 0.000
```

## Properties
Energy relative to the lowest polymorph listed for this composition   17.7 meV per atom
N(E_F)   13.38 states/eV/cell
Calculated density   7.72 g cm⁻³

=====

> The lowest calculated density belongs to which entry?

BeF

=====

> Which of these has the lowest calculated density?

BeF